No. 1
Below is an optimized crystal structure of La2Ho2Tl7, with properties calculated at the PBE-GGA level.

- total magnetic moment (μB/f.u.) = 0.000
- VASP energy (eV per atom) = -3.409
- energy of formation from the pure elements (eV per atom) = -0.175

a b c (Å): 11.851 11.309 5.128
angles (deg): 90.00 101.02 90.00
Space group C2/m (No. 12)
Unique sites:
La1 0.000 0.214 0.000 x4
Ho1 0.240 0.500 0.801 x4
Tl1 0.000 0.000 0.500 x2
Tl2 0.067 0.500 0.272 x4
Tl3 0.217 0.176 0.709 x8

---

No. 2
Below is an optimized crystal structure of Ca6Sc, with properties calculated at the PBE-GGA level.

- total magnetic moment (μB/f.u.) = 1.458
- VASP energy (eV per atom) = -1.311
- energy of formation from the pure elements (eV per atom) = 1.309

a b c (Å): 9.339 9.339 9.339
angles (deg): 90.00 90.00 90.00
Space group Im-3m (No. 229)
Unique sites:
Ca1 0.000 0.250 0.500 x12
Sc1 0.000 0.000 0.000 x2

---

No. 3
Below is an optimized crystal structure of ZrFeI2, with properties calculated at the PBE-GGA level.

- uncorrected formation energy (eV/atom) = 0.5928
- total magnetic moment (μB/f.u.) = 0.000
- VASP energy (eV per atom) = -4.435
- ΔE to the lowest computed polymorph (meV/atom) = 4

a b c (Å): 6.317 6.317 11.183
angles (deg): 90.00 90.00 90.00
Space group I-42d (No. 122)
Unique sites:
Zr1 0.000 0.000 0.000 x4
Fe1 0.000 0.000 0.500 x4
I1 0.199 0.250 0.625 x8